# 1
Here is a geometry-optimized BaNiSb2 structure from the Alexandria database. Energies are from GGA-PBE.

Cell: 6.394 6.394 6.394 Å, 138.82 138.82 59.65°
Each line ends with the local moment (μB).
Fractional positions:
Ba  0.250  0.750  0.500  0.00
Ni  0.750  0.250  0.500  0.46
Sb  0.000  0.000  0.000  0.02
Sb  0.500  0.500  0.000  0.02

Values from the calculation:
For the formation energy (no corrections), the calculation gives 98 meV per atom. The density of states at the Fermi level comes out at 4.33 states/eV/f.u. As for the crystal system: tetragonal. As for the volume: 112 Å³/cell. The value obtained for the total DFT energy (no corrections) is -15.56 eV/cell.

***

# 2
Here is a geometry-optimized NaBi4Pb4 structure from the Alexandria database. Energies are from GGA-PBE.

Cell: 6.325 10.545 10.545 Å, 90.00 90.00 90.00°
Fractional positions:
Na  0.000  0.000  0.000
Na  0.500  0.500  0.500
Bi  0.464  0.783  0.377
Bi  0.464  0.217  0.623
Bi  0.964  0.877  0.717
Bi  0.036  0.283  0.877
Bi  0.036  0.717  0.123
Bi  0.536  0.377  0.217
Bi  0.536  0.623  0.783
Bi  0.964  0.123  0.283
Pb  0.537  0.349  0.914
Pb  0.037  0.586  0.849
Pb  0.537  0.651  0.086
Pb  0.963  0.151  0.586
Pb  0.463  0.914  0.651
Pb  0.963  0.849  0.414
Pb  0.037  0.414  0.151
Pb  0.463  0.086  0.349

Values from the calculation:
The density of states at the Fermi level comes out at 6.37 states/eV/f.u. As for the crystal system: tetragonal. As for the volume: 703 Å³/cell. The value obtained for the formation energy is 5.5 kJ/mol of atoms. The value obtained for the total DFT energy (no corrections) is -62.33 eV/cell.

***

# 3
Here is a geometry-optimized Cd2AgAu8 structure from the Alexandria database. Energies are from GGA-PBE.

Cell: 5.521 8.225 7.699 Å, 57.71 68.77 47.33°
Fractional positions:
Cd  0.000  0.307  0.387
Cd  0.000  0.693  0.613
Ag  0.500  0.000  0.000
Au  0.903  0.095  0.225
Au  0.903  0.320  0.775
Au  0.325  0.410  0.000
Au  0.500  0.780  0.440
Au  0.500  0.220  0.560
Au  0.675  0.590  0.000
Au  0.097  0.680  0.225
Au  0.097  0.905  0.775

Values from the calculation:
The density of states at the Fermi level comes out at 3.47 states/eV/f.u. As for the crystal system: monoclinic. As for the volume: 217 Å³/cell. The value obtained for the formation energy is -2.2 kJ/mol of atoms. The value obtained for the total DFT energy (no corrections) is -31.15 eV/cell. For the energy above the most stable polymorph in this dataset, the calculation gives 1.21 kcal/mol of atoms.

***

# 4
Here is a geometry-optimized NaAcN structure from the Alexandria database. Energies are from GGA-PBE.

Cell: 3.627 3.627 6.322 Å, 89.99 90.01 90.01°
Fractional positions:
Na  0.832  0.429  0.759
Ac  0.333  0.930  0.303
N  0.832  0.430  0.379

Values from the calculation:
For the formation energy (no corrections), the calculation gives -494 meV per atom. The density of states at the Fermi level comes out at 0.77 states/eV/f.u. As for the crystal system: tetragonal. As for the volume: 83 Å³/cell. The value obtained for the total DFT energy (no corrections) is -15.23 eV/cell. For the energy above the most stable polymorph in this dataset, the calculation gives 2.50 kcal/mol of atoms.

***

# 5
Here is a geometry-optimized LaSm8Dy5 structure from the Alexandria database. Energies are from GGA-PBE.

Cell: 8.546 8.546 8.546 Å, 111.84 104.82 111.85°
Fractional positions:
La  0.250  0.500  0.750
Sm  0.166  0.737  0.075
Sm  0.925  0.091  0.662
Sm  0.718  0.252  0.323
Sm  0.677  0.395  0.929
Sm  0.534  0.605  0.282
Sm  0.571  0.909  0.834
Sm  0.338  0.263  0.429
Sm  0.071  0.748  0.466
Dy  0.040  0.318  0.135
Dy  0.865  0.905  0.183
Dy  0.817  0.682  0.722
Dy  0.500  0.000  0.500
Dy  0.278  0.095  0.960

Values from the calculation:
The density of states at the Fermi level comes out at 21.21 states/eV/f.u. As for the crystal system: tetragonal. As for the volume: 478 Å³/cell. The value obtained for the formation energy is 22.5 kJ/mol of atoms. The value obtained for the total DFT energy (no corrections) is -62.43 eV/cell.

***

# 6
Here is a geometry-optimized In4Br2Cl structure from the Alexandria database. Energies are from GGA-PBE.

Cell: 5.719 5.719 8.734 Å, 70.89 70.89 90.00°
Fractional positions:
Cl  0.000  0.000  0.000
Br  0.220  0.220  0.560
Br  0.780  0.780  0.440
In  0.388  0.388  0.225
In  0.612  0.612  0.775
In  0.000  0.500  0.000
In  0.500  0.000  0.000

Values from the calculation:
For the formation energy (no corrections), the calculation gives -357 meV per atom. The density of states at the Fermi level comes out at 1.77 states/eV/f.u. As for the crystal system: tetragonal. As for the volume: 253 Å³/cell. The value obtained for the total DFT energy (no corrections) is -18.65 eV/cell.

***

# 7
Here is a geometry-optimized CsCaTlSiSe structure from the Alexandria database. Energies are from GGA-PBE.

Cell: 4.535 4.535 9.516 Å, 90.00 90.00 120.00°
Fractional positions:
Cs  0.667  0.333  0.658
Ca  0.667  0.333  0.069
Tl  0.333  0.667  0.303
Si  0.000  0.000  0.350
Se  0.333  0.667  0.935

Values from the calculation:
For the formation energy (no corrections), the calculation gives -647 meV per atom. The density of states at the Fermi level comes out at 0.21 states/eV/f.u. As for the crystal system: trigonal. As for the volume: 170 Å³/cell. The value obtained for the total DFT energy (no corrections) is -17.36 eV/cell. For the energy above the most stable polymorph in this dataset, the calculation gives 0.38 kcal/mol of atoms.

***

# 8
Here is a geometry-optimized NiHPd3 structure from the Alexandria database. Energies are from GGA-PBE.

Cell: 3.937 3.937 3.937 Å, 90.00 90.00 90.00°
Each line ends with the local moment (μB).
Fractional positions:
Ni  0.500  0.500  0.500  0.83
Pd  0.000  0.500  0.000  0.13
Pd  0.000  0.000  0.500  0.13
Pd  0.500  0.000  0.000  0.13
H  0.000  0.000  0.000  0.00

Values from the calculation:
The density of states at the Fermi level comes out at 7.05 states/eV/f.u. As for the crystal system: cubic. As for the volume: 61 Å³/cell. The value obtained for the total DFT energy (no corrections) is -24.63 eV/cell. For the energy above the most stable polymorph in this dataset, the calculation gives 0.94 kcal/mol of atoms.

***

> Among the records above, which one has the highest total DFT energy (no corrections)?

NaAcN

***

Copy entry 8 word for word.
Here is a geometry-optimized NiHPd3 structure from the Alexandria database. Energies are from GGA-PBE.

Cell: 3.937 3.937 3.937 Å, 90.00 90.00 90.00°
Each line ends with the local moment (μB).
Fractional positions:
Ni  0.500  0.500  0.500  0.83
Pd  0.000  0.500  0.000  0.13
Pd  0.000  0.000  0.500  0.13
Pd  0.500  0.000  0.000  0.13
H  0.000  0.000  0.000  0.00

Values from the calculation:
The density of states at the Fermi level comes out at 7.05 states/eV/f.u. As for the crystal system: cubic. As for the volume: 61 Å³/cell. The value obtained for the total DFT energy (no corrections) is -24.63 eV/cell. For the energy above the most stable polymorph in this dataset, the calculation gives 0.94 kcal/mol of atoms.